VSeF2 | Alexandria via LeMat-Bulk | GGA+U | optimized geometry; energy above the most stable polymorph in this dataset = 444 meV per atom; space-group type = I4_1/amd
1.0
-2.713 2.713 5.685
2.713 -2.713 5.685
2.713 2.713 -5.685
V Se F
2 2 4
direct
0.375 0.625 0.750
0.625 0.375 0.250
0.125 0.875 0.250
0.875 0.125 0.750
0.000 0.500 0.500
0.500 0.000 0.000
0.500 0.500 0.000
0.500 0.500 0.500